{"formula": "Tl2V3O8", "functional": "GGA+U", "state": "relaxed", "cell": [[-6.4842, 6.3079, 0.5022], [-1.2854, -0.6090, -8.9479], [-3.8887, -4.0640, 0.8352]], "species": ["O", "O", "O", "O", "O", "O", "O", "O", "O", "O", "O", "O", "O", "O", "O", "O", "V", "V", "V", "V", "V", "V", "Tl", "Tl", "Tl", "Tl"], "frac_coords": [[0.8078, 0.0871, 0.4071], [0.8637, 0.6363, 0.0003], [0.3637, 0.8637, 0.0003], [0.5000, 0.5000, 0.0175], [0.0000, 0.5000, 0.3993], [0.0000, 0.0000, 0.0175], [0.3078, 0.4129, 0.4071], [0.1363, 0.3637, 0.0003], [0.1922, 0.9129, 0.4071], [0.6922, 0.5871, 0.4071], [0.5000, 0.0000, 0.3993], [0.4129, 0.6922, 0.4071], [0.6363, 0.1363, 0.0003], [0.9129, 0.8078, 0.4071], [0.5871, 0.3078, 0.4071], [0.0871, 0.1922, 0.4071], [0.6351, 0.1351, 0.2938], [0.3649, 0.8649, 0.2938], [0.1351, 0.3649, 0.2938], [0.8649, 0.6351, 0.2938], [0.5000, 0.5000, 0.3057], [0.0000, 0.0000, 0.3057], [0.6748, 0.8252, 0.7591], [0.8252, 0.3252, 0.7591], [0.3252, 0.1748, 0.7591], [0.1748, 0.6748, 0.7591]], "crystal_system": "tetragonal", "sg": "P4bm", "relative_energy_ev_per_atom": 0.000, "dft_energy_ev_per_atom": -6.84}